Entry 1:
VASP calculation (PBE-GGA) on LaSbAs2 after structural relaxation.

Cell lengths 7.504, 7.504, 7.504 Å; angles 33.09, 33.09, 33.09 degrees
Atoms (fractional coordinates):
Sb 0.737 0.737 0.737
As 0.997 0.997 0.997
As 0.255 0.255 0.255
La 0.512 0.512 0.512

Summary:
Raw formation energy ... -0.45 eV per atom
Space-group type ... R3m (160)

Entry 2:
VASP calculation (PBE-GGA) on HfSiF2 after structural relaxation.

Cell lengths 3.890, 3.890, 8.115 Å; angles 76.13, 76.13, 90.00 degrees
Atoms (fractional coordinates):
Si 0.500 0.500 0.000
Si 0.250 0.750 0.500
Hf 0.000 0.000 0.000
Hf 0.750 0.250 0.500
F 0.695 0.125 0.250
F 0.055 0.625 0.250
F 0.375 0.305 0.750
F 0.875 0.945 0.750

Summary:
Raw formation energy ... -1.72 eV per atom
Space-group type ... I-42d (122)

Entry 3:
VASP calculation (PBE-GGA) on LiPmH6Pd2 after structural relaxation.

Cell lengths 4.541, 4.541, 5.819 Å; angles 67.03, 67.03, 60.00 degrees
Atoms (fractional coordinates):
Li 0.500 0.500 0.500
Pm 0.000 0.000 0.000
H 0.093 0.556 0.796
H 0.555 0.093 0.796
H 0.444 0.445 0.204
H 0.907 0.444 0.204
H 0.445 0.907 0.204
H 0.556 0.555 0.796
Pd 0.792 0.792 0.624
Pd 0.208 0.208 0.376

Summary:
Uncorrected energy ... -4.024 eV per atom
Space-group type ... R-3m (166)

Entry 4:
VASP calculation (PBE-GGA) on Tl7In2Bi2 after structural relaxation.

Cell lengths 5.498, 8.722, 8.722 Å; angles 65.15, 71.63, 71.63 degrees
Atoms (fractional coordinates):
Tl 0.850 0.068 0.232
Tl 0.856 0.479 0.808
Tl 0.500 0.929 0.071
Tl 0.637 0.477 0.249
Tl 0.363 0.751 0.523
Tl 0.150 0.768 0.932
Tl 0.144 0.192 0.521
In 0.000 0.634 0.366
In 0.500 0.302 0.698
Bi 0.706 0.922 0.666
Bi 0.294 0.334 0.078

Summary:
Energy relative to the elements ... 0.017 eV per atom
Space-group type ... Imm2 (44)